*P*
MnMoBr | Alexandria via LeMat-Bulk | PBE | optimized geometry; space-group type = P3m1; mass density = 7.254 g/cm3
1.0
3.243 0.000 0.000
-1.621 2.808 0.000
0.000 0.000 5.802
Mn Mo Br
1 1 1
Cartesian
0.000 0.000 0.000
1.621 0.936 1.379
0.000 1.872 3.688



*Q*
MnMoBr | Alexandria via LeMat-Bulk | PBE | optimized geometry; space-group type = I4mm; mass density = 6.723 g/cm3
1.0
3.048 0.000 0.000
0.000 3.048 0.000
0.000 0.000 12.267
Mn Mo Br
2 2 2
Cartesian
0.000 0.000 0.000
1.524 1.524 6.133
0.000 0.000 4.579
1.524 1.524 10.713
0.000 0.000 8.921
1.524 1.524 2.788



Stability check: which of them is most stable? *P*.



*P*
MnMoBr | Alexandria via LeMat-Bulk | PBE | optimized geometry; space-group type = Fmm2; mass density = 7.044 g/cm3
1.0
3.287 0.000 0.000
0.000 5.277 0.000
0.000 0.000 12.547
Mn Mo Br
4 4 4
Cartesian
0.000 0.000 0.000
0.000 2.638 6.274
1.643 0.000 6.274
1.643 2.638 0.000
0.000 0.000 4.503
0.000 2.638 10.776
1.643 0.000 10.776
1.643 2.638 4.503
0.000 0.000 8.412
0.000 2.638 2.138
1.643 0.000 2.138
1.643 2.638 8.412



*Q*
MnMoBr | Alexandria via LeMat-Bulk | PBE | optimized geometry; space-group type = P-6m2; mass density = 7.581 g/cm3
1.0
4.417 0.000 0.000
-2.209 3.825 0.000
0.000 0.000 2.992
Mn Mo Br
1 1 1
Cartesian
0.000 0.000 0.000
0.000 2.550 1.496
2.209 1.275 1.496



*R*
MnMoBr | Alexandria via LeMat-Bulk | PBE | optimized geometry; space-group type = F-43m; mass density = 6.777 g/cm3
1.0
6.093 0.000 0.000
0.000 6.093 0.000
0.000 0.000 6.093
Mn Mo Br
4 4 4
Cartesian
0.000 0.000 0.000
0.000 3.046 3.046
3.046 0.000 3.046
3.046 3.046 0.000
1.523 1.523 4.570
1.523 4.570 1.523
4.570 1.523 1.523
4.570 4.570 4.570
0.000 0.000 3.046
0.000 3.046 0.000
3.046 0.000 0.000
3.046 3.046 3.046



Stability check: which of them is most stable? *P*.



*P*
MnBrN2 | Alexandria via LeMat-Bulk | PBE | optimized geometry; space-group type = R-3m; mass density = 4.689 g/cm3
1.0
3.220 0.000 0.000
-1.610 2.788 0.000
0.000 0.000 19.272
Mn Br N
3 3 6
Cartesian
0.000 0.000 0.000
0.000 1.859 12.848
1.610 0.929 6.424
0.000 0.000 9.636
0.000 1.859 3.212
1.610 0.929 16.060
0.000 0.000 1.728
0.000 0.000 17.545
0.000 1.859 11.121
0.000 1.859 14.576
1.610 0.929 4.697
1.610 0.929 8.152



*Q*
MnBrN2 | Alexandria via LeMat-Bulk | PBE | optimized geometry; space-group type = Fm-3m; mass density = 6.719 g/cm3
1.0
5.440 0.000 0.000
0.000 5.440 0.000
0.000 0.000 5.440
Mn Br N
4 4 8
Cartesian
0.000 0.000 0.000
0.000 2.720 2.720
2.720 0.000 2.720
2.720 2.720 0.000
0.000 0.000 2.720
0.000 2.720 0.000
2.720 0.000 0.000
2.720 2.720 2.720
1.360 1.360 1.360
1.360 1.360 4.080
1.360 4.080 1.360
1.360 4.080 4.080
4.080 1.360 1.360
4.080 1.360 4.080
4.080 4.080 1.360
4.080 4.080 4.080



*R*
MnBrN2 | Alexandria via LeMat-Bulk | PBE | optimized geometry; space-group type = I4_1/amd; mass density = 4.325 g/cm3
1.0
5.615 0.000 0.000
0.000 5.615 0.000
0.000 0.000 7.933
Mn Br N
4 4 8
Cartesian
0.000 1.404 2.975
0.000 4.211 4.958
2.808 1.404 0.992
2.808 4.211 6.941
0.000 1.404 6.941
0.000 4.211 0.992
2.808 1.404 4.958
2.808 4.211 2.975
0.000 0.000 3.966
0.000 2.808 3.966
1.404 1.404 1.983
1.404 4.211 5.950
2.808 0.000 0.000
2.808 2.808 0.000
4.211 1.404 1.983
4.211 4.211 5.950



Stability check: which of them is most stable? *R*.